--- a ---
Here is a relaxed structure of Mg6CrGa from the Alexandria database. Energies are from GGA-PBE.

Computed properties:
**Calculated volume**: 163.4 Å³/f.u.
**Density of states at the Fermi level**: 2.29 states/eV/cell
**Space group**: No. 38
**Size of the total moment**: 3.85 Bohr magnetons per cell

Structure (POSCAR):
```
Mg6CrGa
1.0
-5.6026 2.6176 -0.0959
0.9973 -5.0539 3.4224
1.2625 2.8424 3.8295
Mg Cr Ga
6 1 1
direct
0.1706 0.3385 0.0000 Mg
0.6615 0.8294 0.0000 Mg
0.6660 0.3340 0.0000 Mg
0.3304 0.1577 0.5000 Mg
0.8423 0.6696 0.5000 Mg
0.8323 0.1677 0.5000 Mg
0.1725 0.8275 0.0000 Cr
0.3244 0.6756 0.5000 Ga
```

--- b ---
Here is a relaxed structure of Mg6CrGa from the Alexandria database. Energies are from GGA-PBE.

Computed properties:
**Calculated volume**: 163.9 Å³/f.u.
**Density of states at the Fermi level**: 2.73 states/eV/cell
**Space group**: No. 38
**Size of the total moment**: 3.94 Bohr magnetons per cell

Structure (POSCAR):
```
Mg6CrGa
1.0
3.0729 -5.3366 0.0000
3.0729 5.3366 0.0000
0.0000 0.0000 4.9966
Mg Cr Ga
6 1 1
direct
0.8321 0.6654 0.5000 Mg
0.3346 0.1679 0.5000 Mg
0.6665 0.8392 0.0000 Mg
0.1608 0.3335 0.0000 Mg
0.6707 0.3293 0.0000 Mg
0.1690 0.8310 0.0000 Mg
0.8328 0.1672 0.5000 Cr
0.3337 0.6663 0.5000 Ga
```

Most stable structure, least stable structure: a, b.

--- a ---
Here is a relaxed structure of MgCr3Ga from the Alexandria database. Energies are from GGA-PBE.

Computed properties:
**Calculated volume**: 107.4 Å³/f.u.
**Density of states at the Fermi level**: 3.05 states/eV/cell
**Space group**: No. 221
**Size of the total moment**: 11.11 Bohr magnetons per cell

Structure (POSCAR):
```
MgCr3Ga
1.0
4.7533 0.0000 0.0000
0.0000 4.7533 0.0000
0.0000 0.0000 4.7533
Cr Mg Ga
3 1 1
direct
0.0000 0.5000 0.0000 Cr
0.0000 0.0000 0.5000 Cr
0.5000 0.0000 0.0000 Cr
0.5000 0.5000 0.5000 Mg
0.0000 0.0000 0.0000 Ga
```

--- b ---
Here is a relaxed structure of MgCr3Ga from the Alexandria database. Energies are from GGA-PBE.

Computed properties:
**Calculated volume**: 121.5 Å³/f.u.
**Density of states at the Fermi level**: 6.74 states/eV/cell
**Space group**: No. 221
**Size of the total moment**: 13.24 Bohr magnetons per cell

Structure (POSCAR):
```
MgCr3Ga
1.0
4.9529 0.0000 0.0000
0.0000 4.9529 0.0000
0.0000 0.0000 4.9529
Cr Mg Ga
3 1 1
direct
0.0000 0.5000 0.0000 Cr
0.0000 0.0000 0.5000 Cr
0.5000 0.0000 0.0000 Cr
0.0000 0.0000 0.0000 Mg
0.5000 0.5000 0.5000 Ga
```

Most stable structure, least stable structure: a, b.

--- a ---
Here is a relaxed structure of MgCrGa2Ni from the Alexandria database. Energies are from GGA-PBE.

Computed properties:
**Calculated volume**: 89.8 Å³/f.u.
**Density of states at the Fermi level**: 6.01 states/eV/cell
**Space group**: No. 123
**Size of the total moment**: 0.34 Bohr magnetons per cell

Structure (POSCAR):
```
MgCrGa2Ni
1.0
-1.8522 -3.8255 -1.3302
4.0526 -2.0118 0.1429
-0.7119 -1.1324 4.2479
Ni Mg Ga Cr
1 1 2 1
direct
0.0000 0.0000 0.0000 Ni
0.5000 0.5000 0.5000 Mg
0.0000 0.0000 0.5000 Ga
0.5000 0.0000 0.0000 Ga
0.0000 0.5000 0.0000 Cr
```

--- b ---
Here is a relaxed structure of MgCrGa2Ni from the Alexandria database. Energies are from GGA-PBE.

Computed properties:
**Calculated volume**: 95.9 Å³/f.u.
**Density of states at the Fermi level**: 2.34 states/eV/cell
**Space group**: No. 123
**Size of the total moment**: 4.63 Bohr magnetons per cell

Structure (POSCAR):
```
MgCrGa2Ni
1.0
4.5155 0.0000 0.0000
0.0000 4.7047 0.0000
0.0000 0.0000 4.5155
Ni Mg Ga Cr
1 1 2 1
direct
0.0000 0.0000 0.0000 Ni
0.0000 0.5000 0.0000 Mg
0.0000 0.0000 0.5000 Ga
0.5000 0.0000 0.0000 Ga
0.5000 0.5000 0.5000 Cr
```

Most stable structure, least stable structure: b, a.

--- a ---
Here is a relaxed structure of MnCrGa from the Alexandria database. Energies are from GGA-PBE.

Computed properties:
**Calculated volume**: 36.8 Å³/f.u.
**Density of states at the Fermi level**: 4.81 states/eV/cell
**Space group**: No. 12
**Size of the total moment**: 0.00 Bohr magnetons per cell

Structure (POSCAR):
```
MnCrGa
1.0
2.8005 0.0017 0.5772
1.0569 4.2918 1.9414
0.1564 0.4232 6.3228
Mn Cr Ga
2 2 2
direct
0.1861 0.8646 0.7153 Mn
0.1735 0.4242 0.1808 Mn
0.5175 0.9053 0.0116 Cr
0.8421 0.3835 0.8844 Cr
0.5199 0.3700 0.5423 Ga
0.8397 0.9188 0.3538 Ga
```

--- b ---
Here is a relaxed structure of MnCrGa from the Alexandria database. Energies are from GGA-PBE.

Computed properties:
**Calculated volume**: 36.3 Å³/f.u.
**Density of states at the Fermi level**: 1.47 states/eV/cell
**Space group**: No. 107
**Size of the total moment**: 0.00 Bohr magnetons per cell

Structure (POSCAR):
```
MnCrGa
1.0
2.8904 0.0000 0.0000
0.0000 2.8904 0.0000
-1.4452 -1.4452 4.3472
Cr Mn Ga
1 1 1
direct
0.3193 0.3193 0.6385 Cr
0.6791 0.6791 0.3582 Mn
0.0016 0.0016 0.0033 Ga
```

Most stable structure, least stable structure: b, a.

--- a ---
Here is a relaxed structure of MnCrGa from the Alexandria database. Energies are from GGA-PBE.

Computed properties:
**Calculated volume**: 37.2 Å³/f.u.
**Density of states at the Fermi level**: 1.92 states/eV/cell
**Space group**: No. 156
**Size of the total moment**: 1.06 Bohr magnetons per cell

Structure (POSCAR):
```
MnCrGa
1.0
-0.8986 0.5264 -2.3782
-0.8131 -3.9467 -0.5663
-2.8238 2.4486 1.6089
Cr Mn Ga
1 1 1
direct
0.3949 0.6667 0.3333 Cr
0.6229 0.3333 0.6667 Mn
0.9823 0.0000 0.0000 Ga
```

--- b ---
Here is a relaxed structure of MnCrGa from the Alexandria database. Energies are from GGA-PBE.

Computed properties:
**Calculated volume**: 42.4 Å³/f.u.
**Density of states at the Fermi level**: 4.25 states/eV/cell
**Space group**: No. 129
**Size of the total moment**: 0.76 Bohr magnetons per cell

Structure (POSCAR):
```
MnCrGa
1.0
-1.6947 -3.2568 0.9419
3.2970 -1.3378 1.3062
-1.2288 2.1830 5.3376
Mn Ga Cr
2 2 2
direct
0.5000 0.0000 0.7370 Mn
0.0000 0.5000 0.2630 Mn
0.5000 0.0000 0.1701 Ga
0.0000 0.5000 0.8299 Ga
0.5000 0.5000 0.5000 Cr
0.0000 0.0000 0.5000 Cr
```

Most stable structure, least stable structure: a, b.

--- a ---
Here is a relaxed structure of Cr3GaMo from the Alexandria database. Energies are from GGA-PBE.

Computed properties:
**Calculated volume**: 101.6 Å³/f.u.
**Density of states at the Fermi level**: 4.01 states/eV/cell
**Space group**: No. 221
**Size of the total moment**: 8.05 Bohr magnetons per cell

Structure (POSCAR):
```
Cr3GaMo
1.0
-3.3096 2.6204 1.9875
0.2251 -2.6326 3.8457
3.2812 2.8237 1.7410
Cr Mo Ga
3 1 1
direct
0.0000 0.5000 0.0000 Cr
0.0000 0.0000 0.5000 Cr
0.5000 0.0000 0.0000 Cr
0.0000 0.0000 0.0000 Mo
0.5000 0.5000 0.5000 Ga
```

--- b ---
Here is a relaxed structure of Cr3GaMo from the Alexandria database. Energies are from GGA-PBE.

Computed properties:
**Calculated volume**: 92.9 Å³/f.u.
**Density of states at the Fermi level**: 3.08 states/eV/cell
**Space group**: No. 221
**Size of the total moment**: 7.00 Bohr magnetons per cell

Structure (POSCAR):
```
Cr3GaMo
1.0
-3.0213 1.9880 2.7258
-0.5279 -3.8926 2.2538
3.3322 1.1859 2.8285
Cr Mo Ga
3 1 1
direct
0.0000 0.5000 0.0000 Cr
0.0000 0.0000 0.5000 Cr
0.5000 0.0000 0.0000 Cr
0.5000 0.5000 0.5000 Mo
0.0000 0.0000 0.0000 Ga
```

Most stable structure, least stable structure: a, b.